1.
Density functional theory data (PBE) for a relaxed structure of Pm2Ga3IrPt4.

Results
Calculated formation energy: -79.6 kJ per mole of atoms

Cell: 4.1214 4.1214 11.2316 Å, 90.00 90.00 90.00°
Atoms (fractional coordinates):
Pm  0.0000  0.5000  0.2419
Pm  0.5000  0.0000  0.7581
Ga  0.0000  0.0000  0.0000
Ga  0.0000  0.5000  0.6318
Ga  0.5000  0.0000  0.3682
Ir  0.5000  0.5000  0.0000
Pt  0.0000  0.0000  0.5000
Pt  0.0000  0.5000  0.8508
Pt  0.5000  0.0000  0.1492
Pt  0.5000  0.5000  0.5000

2.
Density functional theory data (PBE) for a relaxed structure of PmGa5Ir2Pt.

Results
Calculated formation energy: -36.7 kJ per mole of atoms

Cell: 4.3320 4.3320 9.9930 Å, 90.00 90.00 90.00°
Atoms (fractional coordinates):
Pm  0.0000  0.0000  0.0000
Ga  0.0000  0.5000  0.3471
Ga  0.0000  0.5000  0.6529
Ga  0.5000  0.0000  0.3471
Ga  0.5000  0.0000  0.6529
Ga  0.5000  0.5000  0.0000
Ir  0.5000  0.5000  0.2314
Ir  0.5000  0.5000  0.7686
Pt  0.0000  0.0000  0.5000

3.
Density functional theory data (PBE) for a relaxed structure of PmGa2IrPt2.

Results
Calculated formation energy: 1.1 kJ per mole of atoms

Cell: 9.8035 9.8035 9.8035 Å, 156.67 156.67 33.23°
Atoms (fractional coordinates):
Pm  0.0000  0.0000  0.0000
Ga  0.1651  0.1651  0.0000
Ga  0.8349  0.8349  0.0000
Ir  0.5000  0.5000  0.0000
Pt  0.2500  0.7500  0.5000
Pt  0.7500  0.2500  0.5000

4.
Density functional theory data (PBE) for a relaxed structure of Pm2Ga4Ir3Pt.

Results
Calculated formation energy: -74.4 kJ per mole of atoms

Cell: 4.2340 4.2340 10.5060 Å, 90.00 90.00 90.00°
Atoms (fractional coordinates):
Pm  0.0000  0.5000  0.2461
Pm  0.5000  0.0000  0.7539
Ga  0.0000  0.0000  0.5000
Ga  0.0000  0.5000  0.8693
Ga  0.5000  0.0000  0.1307
Ga  0.5000  0.5000  0.5000
Ir  0.0000  0.0000  0.0000
Ir  0.0000  0.5000  0.6336
Ir  0.5000  0.0000  0.3664
Pt  0.5000  0.5000  0.0000

5.
Density functional theory data (PBE) for a relaxed structure of Pm2GaIr2Rh5.

Results
Calculated formation energy: -34.7 kJ per mole of atoms

Cell: 9.5547 9.5547 3.9076 Å, 90.00 90.00 90.00°
Atoms (fractional coordinates):
Pm  0.1674  0.3326  0.0000
Pm  0.3326  0.8326  0.0000
Pm  0.6674  0.1674  0.0000
Pm  0.8326  0.6674  0.0000
Ga  0.0000  0.0000  0.0000
Ga  0.5000  0.5000  0.0000
Ir  0.1321  0.6321  0.0000
Ir  0.3679  0.1321  0.0000
Ir  0.6321  0.8679  0.0000
Ir  0.8679  0.3679  0.0000
Rh  0.0000  0.5000  0.5000
Rh  0.0636  0.8057  0.5000
Rh  0.1943  0.0636  0.5000
Rh  0.3057  0.5636  0.5000
Rh  0.4364  0.3057  0.5000
Rh  0.5000  0.0000  0.5000
Rh  0.5636  0.6943  0.5000
Rh  0.6943  0.4364  0.5000
Rh  0.8057  0.9364  0.5000
Rh  0.9364  0.1943  0.5000

6.
Density functional theory data (PBE) for a relaxed structure of Pm2Ga4Ir3Rh.

Results
Calculated formation energy: -71.7 kJ per mole of atoms

Cell: 4.2853 4.2853 10.2151 Å, 90.00 90.00 90.00°
Atoms (fractional coordinates):
Pm  0.0000  0.5000  0.2400
Pm  0.5000  0.0000  0.7600
Ga  0.0000  0.0000  0.5000
Ga  0.0000  0.5000  0.8749
Ga  0.5000  0.0000  0.1251
Ga  0.5000  0.5000  0.5000
Ir  0.0000  0.0000  0.0000
Ir  0.0000  0.5000  0.6324
Ir  0.5000  0.0000  0.3676
Rh  0.5000  0.5000  0.0000